1.
# LiTa2Rh, relaxed, DFT PBE
data_LiTa2Rh
_symmetry_space_group_name_H-M 'P 1'
_symmetry_Int_Tables_number 1
_symmetry_space_group_name_Hall 'P 1'
_cell_length_a 3.9481
_cell_length_b 3.9845
_cell_length_c 3.9845
_cell_angle_alpha 90.00
_cell_angle_beta 90.00
_cell_angle_gamma 90.00
loop_
_atom_site_label
_atom_site_type_symbol
_atom_site_fract_x
_atom_site_fract_y
_atom_site_fract_z
_atom_site_occupancy
Li1 Li 0.5000 0.5000 0.0000 1
Rh1 Rh 0.5000 0.0000 0.5000 1
Ta1 Ta 0.0000 0.0000 0.0000 1
Ta2 Ta 0.0000 0.5000 0.5000 1
# DFT total energy   -33.0 eV per cell
# Space group   P4/mmm, No. 123
# Formation enthalpy at 0 K   -0.007 eV/atom
# Calculated density   12497 kg/m3

---

2.
# SmDy2YTm2, relaxed, DFT PBE
data_SmDy2YTm2
_symmetry_space_group_name_H-M 'P 1'
_symmetry_Int_Tables_number 1
_symmetry_space_group_name_Hall 'P 1'
_cell_length_a 3.4993
_cell_length_b 16.0357
_cell_length_c 6.9332
_cell_angle_alpha 90.00
_cell_angle_beta 90.00
_cell_angle_gamma 90.00
loop_
_atom_site_label
_atom_site_type_symbol
_atom_site_fract_x
_atom_site_fract_y
_atom_site_fract_z
_atom_site_occupancy
Sm1 Sm 0.5000 0.5000 0.0000 1
Sm2 Sm 0.0000 0.0000 0.5000 1
Dy1 Dy 0.5000 0.8411 0.2495 1
Dy2 Dy 0.5000 0.1589 0.7505 1
Dy3 Dy 0.0000 0.6589 0.7495 1
Dy4 Dy 0.0000 0.3411 0.2505 1
Y1 Y 0.0000 0.0000 0.0000 1
Y2 Y 0.5000 0.5000 0.5000 1
Tm1 Tm 0.5000 0.1551 0.2510 1
Tm2 Tm 0.0000 0.6551 0.2490 1
Tm3 Tm 0.5000 0.8449 0.7490 1
Tm4 Tm 0.0000 0.3449 0.7510 1
# DFT total energy   -56.6 eV per cell
# Space group   Pnnm, No. 58
# Formation enthalpy at 0 K   0.168 eV/atom
# Calculated density   7701 kg/m3

---

3.
# Y2Ho15Sc2, relaxed, DFT PBE
data_Y2Ho15Sc2
_symmetry_space_group_name_H-M 'P 1'
_symmetry_Int_Tables_number 1
_symmetry_space_group_name_Hall 'P 1'
_cell_length_a 8.5984
_cell_length_b 8.5984
_cell_length_c 8.5984
_cell_angle_alpha 79.72
_cell_angle_beta 79.72
_cell_angle_gamma 79.72
loop_
_atom_site_label
_atom_site_type_symbol
_atom_site_fract_x
_atom_site_fract_y
_atom_site_fract_z
_atom_site_occupancy
Y1 Y 0.3209 0.3209 0.3209 1
Y2 Y 0.6791 0.6791 0.6791 1
Ho1 Ho 0.0000 0.0000 0.5000 1
Ho2 Ho 0.5000 0.0000 0.0000 1
Ho3 Ho 0.0000 0.5000 0.0000 1
Ho4 Ho 0.2951 0.7049 0.0000 1
Ho5 Ho 0.0000 0.2951 0.7049 1
Ho6 Ho 0.7049 0.0000 0.2951 1
Ho7 Ho 0.0000 0.7049 0.2951 1
Ho8 Ho 0.2951 0.0000 0.7049 1
Ho9 Ho 0.7049 0.2951 0.0000 1
Ho10 Ho 0.6329 0.6329 0.1453 1
Ho11 Ho 0.1453 0.6329 0.6329 1
Ho12 Ho 0.6329 0.1453 0.6329 1
Ho13 Ho 0.3671 0.3671 0.8547 1
Ho14 Ho 0.8547 0.3671 0.3671 1
Ho15 Ho 0.3671 0.8547 0.3671 1
Sc1 Sc 0.0910 0.0910 0.0910 1
Sc2 Sc 0.9090 0.9090 0.9090 1
# DFT total energy   -88.9 eV per cell
# Space group   R-3m, No. 166
# Formation enthalpy at 0 K   0.283 eV/atom
# Calculated density   7484 kg/m3

---

4.
# SnPb2Se4, relaxed, DFT PBE
data_SnPb2Se4
_symmetry_space_group_name_H-M 'P 1'
_symmetry_Int_Tables_number 1
_symmetry_space_group_name_Hall 'P 1'
_cell_length_a 3.9690
_cell_length_b 7.3836
_cell_length_c 14.4312
_cell_angle_alpha 90.00
_cell_angle_beta 90.00
_cell_angle_gamma 105.59
loop_
_atom_site_label
_atom_site_type_symbol
_atom_site_fract_x
_atom_site_fract_y
_atom_site_fract_z
_atom_site_occupancy
Sn1 Sn 0.6320 0.2640 0.7500 1
Sn2 Sn 0.3680 0.7360 0.2500 1
Pb1 Pb 0.1282 0.2563 0.4280 1
Pb2 Pb 0.8718 0.7437 0.9280 1
Pb3 Pb 0.1282 0.2563 0.0720 1
Pb4 Pb 0.8718 0.7437 0.5720 1
Se1 Se 0.7843 0.5687 0.1253 1
Se2 Se 0.7843 0.5687 0.3747 1
Se3 Se 0.2157 0.4313 0.8747 1
Se4 Se 0.2157 0.4313 0.6253 1
Se5 Se 0.9919 0.9838 0.7500 1
Se6 Se 0.0081 0.0162 0.2500 1
Se7 Se 0.5000 0.0000 0.0000 1
Se8 Se 0.5000 0.0000 0.5000 1
# DFT total energy   -54.9 eV per cell
# Space group   Cmcm, No. 63
# Formation energy (no corrections)   -29 kJ/mol of atoms
# Calculated density   6921 kg/m3

---

no.,calculated volume (Å³ per cell)
1,63
2,389
3,608
4,407